Nd2Al4Cu3Rh: relaxed, PBE.

Properties
Its density of states at the Fermi level is 6.679 states/eV/f.u. For the formation energy from the elements, the calculation gives -5.11 eV per formula unit. The total magnetic moment comes out at 0.00 μB per cell.

Cell: 4.213 4.213 10.331 Å, 90.00 90.00 90.00°
Element x y z (fractional)
Cu: 0.000 0.000 0.500
Rh: 0.500 0.500 0.500
Nd: 0.000 0.500 0.747
Al: 0.000 0.500 0.374
Al: 0.500 0.000 0.626
Cu: 0.500 0.000 0.867
Al: 0.000 0.000 0.000
Cu: 0.000 0.500 0.133
Al: 0.500 0.500 0.000
Nd: 0.500 0.000 0.253

=====

NdSc2AlCu4: relaxed, PBE.

Properties
Its density of states at the Fermi level is 5.675 states/eV/f.u. For the formation energy from the elements, the calculation gives -1.98 eV per formula unit. The total magnetic moment comes out at 0.00 μB per cell.

Cell: 4.474 4.474 8.826 Å, 75.32 75.32 60.00°
Element x y z (fractional)
Nd: 0.000 0.000 0.000
Cu: 0.125 0.125 0.626
Sc: 0.764 0.764 0.707
Sc: 0.236 0.236 0.293
Cu: 0.402 0.402 0.794
Al: 0.500 0.500 0.500
Cu: 0.598 0.598 0.206
Cu: 0.875 0.875 0.374

=====

Nd2AlCuSe5: relaxed, PBE.

Properties
The calculation puts the formation energy (no corrections) at -1308 meV per atom. The total magnetic moment comes out at 0.00 μB per cell.

Cell: 4.096 9.282 11.601 Å, 90.00 90.00 102.75°
Element x y z (fractional)
Se: 0.958 0.917 0.553
Se: 0.508 0.015 0.788
Se: 0.312 0.623 0.631
Nd: 0.121 0.242 0.294
Nd: 0.889 0.778 0.173
Se: 0.359 0.718 0.987
Nd: 0.879 0.758 0.794
Se: 0.492 0.985 0.288
Se: 0.042 0.083 0.053
Se: 0.688 0.377 0.131
Se: 0.306 0.611 0.322
Nd: 0.111 0.222 0.673
Cu: 0.255 0.511 0.112
Al: 0.407 0.813 0.464
Al: 0.593 0.187 0.964
Se: 0.694 0.389 0.822
Cu: 0.745 0.489 0.612
Se: 0.641 0.282 0.487

=====

NdAlCu2Si: relaxed, PBE.

Properties
The calculation puts the formation energy (no corrections) at -471 meV per atom. Its density of states at the Fermi level is 2.784 states/eV/f.u. The total magnetic moment comes out at 0.00 μB per cell.

Cell: 4.042 4.049 6.061 Å, 109.51 109.48 90.00°
Element x y z (fractional)
Cu: 0.054 0.054 0.108
Al: 0.187 0.687 0.373
Cu: 0.701 0.201 0.401
Si: 0.833 0.833 0.665
Nd: 0.438 0.438 0.876

=====

Nd2AlCu4Si3: relaxed, PBE.

Properties
The calculation puts the formation energy (no corrections) at -546 meV per atom. Its density of states at the Fermi level is 4.012 states/eV/f.u. The total magnetic moment comes out at 0.00 μB per cell.

Cell: 4.083 4.083 10.137 Å, 90.00 90.00 90.00°
Element x y z (fractional)
Cu: 0.500 0.500 0.000
Si: 0.000 0.500 0.128
Nd: 0.000 0.500 0.758
Cu: 0.000 0.500 0.364
Nd: 0.500 0.000 0.242
Cu: 0.500 0.000 0.636
Al: 0.500 0.500 0.500
Si: 0.000 0.000 0.500
Si: 0.500 0.000 0.872
Cu: 0.000 0.000 0.000

=====

NdAl2Cu2Si: relaxed, PBE.

Properties
The calculation puts the formation energy (no corrections) at -117 meV per atom. Its density of states at the Fermi level is 2.448 states/eV/f.u. The total magnetic moment comes out at 0.00 μB per cell.

Cell: 4.466 4.466 5.605 Å, 90.00 90.00 90.00°
Element x y z (fractional)
Al: 0.500 0.500 0.735
Al: 0.500 0.500 0.265
Nd: 0.000 0.000 0.500
Cu: 0.500 0.000 0.000
Si: 0.000 0.000 0.000
Cu: 0.000 0.500 0.000

=====

Nd2AlCu4Sn3: relaxed, PBE.

Properties
Its density of states at the Fermi level is 5.020 states/eV/f.u. For the formation energy from the elements, the calculation gives -4.34 eV per formula unit. The total magnetic moment comes out at 0.00 μB per cell.

Cell: 4.357 4.357 10.758 Å, 90.00 90.00 90.00°
Element x y z (fractional)
Sn: 0.000 0.500 0.133
Cu: 0.500 0.500 0.000
Sn: 0.000 0.000 0.500
Cu: 0.500 0.000 0.630
Nd: 0.000 0.500 0.752
Cu: 0.000 0.000 0.000
Al: 0.500 0.500 0.500
Cu: 0.000 0.500 0.370
Nd: 0.500 0.000 0.248
Sn: 0.500 0.000 0.867

=====

NdAlZnCu3: relaxed, PBE.

Properties
Its density of states at the Fermi level is 2.523 states/eV/f.u. For the formation energy from the elements, the calculation gives -0.40 eV per formula unit. The total magnetic moment comes out at 0.00 μB per cell.

Cell: 5.761 6.140 6.778 Å, 116.93 90.00 90.00°
Element x y z (fractional)
Cu: 0.000 0.300 0.000
Nd: 0.750 0.294 0.588
Cu: 0.500 0.700 0.000
Nd: 0.250 0.706 0.412
Cu: 0.000 0.700 0.000
Al: 0.750 0.048 0.097
Zn: 0.750 0.640 0.280
Cu: 0.750 0.848 0.696
Al: 0.250 0.952 0.903
Cu: 0.250 0.152 0.304
Cu: 0.500 0.300 0.000
Zn: 0.250 0.360 0.720

=====

> Number 5 is which compound?

Nd2AlCu4Si3